1.
# Cu2HgAs2

Cu2HgAs2 after structural relaxation (PBE, the Alexandria database).

Cell lengths 8.067, 8.067, 2.715 Å; angles 90.00, 90.00, 90.00 degrees
Fractional positions:
Cu  0.149  0.351  0.000
Cu  0.351  0.851  0.000
Cu  0.649  0.149  0.000
Cu  0.851  0.649  0.000
Hg  0.000  0.000  0.000
Hg  0.500  0.500  0.000
As  0.142  0.642  0.500
As  0.358  0.142  0.500
As  0.642  0.858  0.500
As  0.858  0.358  0.500

Calculated values
Energy relative to the elements   1.1 eV per formula unit
Space-group type   P4/mbm, No. 127
Calculated total energy   -33.48 eV per cell

2.
# Cu2HgAs

Cu2HgAs after structural relaxation (PBE, the Alexandria database).

Cell lengths 4.715, 4.715, 2.970 Å; angles 90.00, 90.00, 96.19 degrees
Fractional positions:
Cu  0.000  0.500  0.000
Cu  0.500  0.000  0.000
Hg  0.000  0.000  0.500
As  0.500  0.500  0.500

Calculated values
Energy relative to the elements   1.0 eV per formula unit
Space-group type   Cmmm, No. 65
Calculated total energy   -12.13 eV per cell

3.
# Cu2HgAs

Cu2HgAs after structural relaxation (PBE, the Alexandria database).

Cell lengths 4.745, 4.745, 4.745 Å; angles 127.80, 126.42, 78.08 degrees
Fractional positions:
Cu  0.247  0.247  0.000
Cu  0.753  0.753  0.000
Hg  0.500  0.000  0.500
As  0.000  0.500  0.500

Calculated values
Energy relative to the elements   1.1 eV per formula unit
Space-group type   Immm, No. 71
Calculated total energy   -12.06 eV per cell

4.
# Li2CuHgAs

Li2CuHgAs after structural relaxation (PBE, the Alexandria database).

Cell lengths 4.838, 4.838, 5.212 Å; angles 90.00, 90.00, 90.00 degrees
Fractional positions:
Li  0.000  0.500  0.000
Li  0.500  0.000  0.000
Cu  0.000  0.000  0.500
Hg  0.500  0.500  0.000
As  0.500  0.500  0.500

Calculated values
Energy relative to the elements   2.4 eV per formula unit
Space-group type   P4/mmm, No. 123
Calculated total energy   -10.45 eV per cell

5.
# Li2CuHgAs

Li2CuHgAs after structural relaxation (PBE, the Alexandria database).

Cell lengths 4.990, 4.990, 4.519 Å; angles 90.00, 90.00, 90.00 degrees
Fractional positions:
Li  0.000  0.500  0.000
Li  0.500  0.000  0.000
Cu  0.000  0.000  0.500
Hg  0.500  0.500  0.500
As  0.000  0.000  0.000

Calculated values
Energy relative to the elements   -1.2 eV per formula unit
Space-group type   P4/mmm, No. 123
Calculated total energy   -14.04 eV per cell

6.
# LiCuHgAs

LiCuHgAs after structural relaxation (PBE, the Alexandria database).

Cell lengths 4.566, 4.566, 4.566 Å; angles 60.00, 60.00, 60.00 degrees
Fractional positions:
Li  0.000  0.000  0.000
Cu  0.500  0.500  0.500
Hg  0.750  0.750  0.750
As  0.250  0.250  0.250

Calculated values
Energy relative to the elements   -0.3 eV per formula unit
Space-group type   F-43m, No. 216
Calculated total energy   -11.27 eV per cell

7.
# CuHgMo2As

CuHgMo2As after structural relaxation (PBE, the Alexandria database).

Cell lengths 5.317, 5.317, 4.940 Å; angles 90.00, 90.00, 90.00 degrees
Fractional positions:
Cu  0.000  0.000  0.000
Hg  0.500  0.500  0.500
Mo  0.000  0.500  0.500
Mo  0.500  0.000  0.500
As  0.500  0.500  0.000

Calculated values
Energy relative to the elements   11.5 eV per formula unit
Space-group type   P4/mmm, No. 123
Calculated total energy   -19.23 eV per cell

8.
# Na2CuHgAs

Na2CuHgAs after structural relaxation (PBE, the Alexandria database).

Cell lengths 5.675, 5.675, 4.490 Å; angles 90.00, 90.00, 90.00 degrees
Fractional positions:
Na  0.000  0.500  0.000
Na  0.500  0.000  0.000
Cu  0.000  0.000  0.500
Hg  0.500  0.500  0.500
As  0.000  0.000  0.000

Calculated values
Energy relative to the elements   -0.8 eV per formula unit
Space-group type   P4/mmm, No. 123
Calculated total energy   -12.51 eV per cell

9.
# CuHgAsO4

CuHgAsO4 after structural relaxation (PBE, the Alexandria database).

Cell lengths 5.508, 6.380, 5.982 Å; angles 90.00, 107.98, 90.00 degrees
Fractional positions:
Cu  0.098  0.250  0.293
Cu  0.902  0.750  0.707
Hg  0.324  0.250  0.969
Hg  0.676  0.750  0.031
As  0.275  0.750  0.402
As  0.725  0.250  0.598
O  0.089  0.545  0.248
O  0.089  0.955  0.248
O  0.288  0.750  0.695
O  0.419  0.250  0.622
O  0.581  0.750  0.378
O  0.712  0.250  0.305
O  0.911  0.045  0.752
O  0.911  0.455  0.752

Calculated values
Space-group type   P2_1/m, No. 11
Calculated total energy   -68.16 eV per cell
Raw formation energy   -0.743 eV/atom

10.
# Cu2HgAsO6

Cu2HgAsO6 after structural relaxation (PBE, the Alexandria database).

Cell lengths 7.101, 7.101, 6.754 Å; angles 99.61, 99.61, 103.23 degrees
Fractional positions:
Cu  0.104  0.156  0.168
Cu  0.156  0.104  0.668
Cu  0.844  0.896  0.332
Cu  0.896  0.844  0.832
Hg  0.316  0.684  0.750
Hg  0.684  0.316  0.250
As  0.382  0.618  0.250
As  0.618  0.382  0.750
O  0.036  0.146  0.418
O  0.146  0.036  0.918
O  0.244  0.674  0.042
O  0.326  0.756  0.458
O  0.337  0.369  0.258
O  0.369  0.337  0.758
O  0.631  0.663  0.242
O  0.663  0.631  0.742
O  0.674  0.244  0.542
O  0.756  0.326  0.958
O  0.854  0.964  0.082
O  0.964  0.854  0.582

Calculated values
Space-group type   C2/c, No. 15
Calculated total energy   -98.90 eV per cell
Raw formation energy   -0.656 eV/atom

11.
# CuHg2AsO4

CuHg2AsO4 after structural relaxation (PBE, the Alexandria database).

Cell lengths 6.435, 7.555, 5.342 Å; angles 90.00, 90.00, 90.00 degrees
Fractional positions:
Cu  0.000  0.128  0.000
Cu  0.500  0.872  0.500
Hg  0.231  0.600  0.002
Hg  0.269  0.400  0.502
Hg  0.731  0.400  0.502
Hg  0.769  0.600  0.002
As  0.000  0.920  0.502
As  0.500  0.080  0.002
O  0.000  0.138  0.614
O  0.000  0.905  0.180
O  0.218  0.807  0.606
O  0.282  0.193  0.106
O  0.500  0.095  0.680
O  0.500  0.862  0.114
O  0.718  0.193  0.106
O  0.782  0.807  0.606

Calculated values
Space-group type   Pmn2_1, No. 31
Calculated total energy   -68.41 eV per cell
Raw formation energy   -0.628 eV/atom

12.
# CuHgAsRu2

CuHgAsRu2 after structural relaxation (PBE, the Alexandria database).

Cell lengths 5.089, 5.089, 4.964 Å; angles 90.00, 90.00, 90.00 degrees
Fractional positions:
Cu  0.000  0.000  0.000
Hg  0.500  0.500  0.500
As  0.500  0.500  0.000
Ru  0.000  0.500  0.500
Ru  0.500  0.000  0.500

Calculated values
Energy relative to the elements   10.8 eV per formula unit
Space-group type   P4/mmm, No. 123
Calculated total energy   -16.83 eV per cell